Entry 1:
A relaxed YNi13 crystal, computed with PBE.

M_tot, μB/f.u.: 6.9
Crystal system: cubic
DFT formation energy, eV per atom: -0.0803

Cell: 7.9106 7.9106 7.9106 Å, 60.00 60.00 60.00°
Closest atoms and distances in Å follow each position.
Fractional coordinates of all 28 atoms:
Ni (0.2971, 0.7029, 0.0630)  10 Ni 2.38-2.62
Ni (0.0630, 0.9370, 0.2971)  10 Ni 2.38-2.62
Ni (0.9370, 0.0630, 0.7029)  10 Ni 2.38-2.62
Ni (0.7029, 0.2971, 0.9370)  10 Ni 2.38-2.62
Ni (0.9370, 0.7029, 0.2971)  10 Ni 2.38-2.62
Ni (0.7029, 0.9370, 0.0630)  10 Ni 2.38-2.62
Ni (0.2971, 0.0630, 0.9370)  10 Ni 2.38-2.62
Ni (0.0630, 0.2971, 0.7029)  10 Ni 2.38-2.62
Ni (0.0630, 0.7029, 0.9370)  10 Ni 2.38-2.62
Ni (0.2971, 0.9370, 0.7029)  10 Ni 2.38-2.62
Ni (0.7029, 0.0630, 0.2971)  10 Ni 2.38-2.62
Ni (0.9370, 0.2971, 0.0630)  10 Ni 2.38-2.62
Ni (0.2029, 0.5630, 0.4370)  10 Ni 2.38-2.62
Ni (0.4370, 0.7971, 0.2029)  10 Ni 2.38-2.62
Ni (0.5630, 0.2029, 0.7971)  10 Ni 2.38-2.62
Ni (0.7971, 0.4370, 0.5630)  10 Ni 2.38-2.62
Ni (0.5630, 0.4370, 0.2029)  10 Ni 2.38-2.62
Ni (0.7971, 0.2029, 0.4370)  10 Ni 2.38-2.62
Ni (0.2029, 0.7971, 0.5630)  10 Ni 2.38-2.62
Ni (0.4370, 0.5630, 0.7971)  10 Ni 2.38-2.62
Ni (0.4370, 0.2029, 0.5630)  10 Ni 2.38-2.62
Ni (0.2029, 0.4370, 0.7971)  10 Ni 2.38-2.62
Ni (0.7971, 0.5630, 0.2029)  10 Ni 2.38-2.62
Ni (0.5630, 0.7971, 0.4370)  10 Ni 2.38-2.62
Ni (0.0000, 0.0000, 0.0000)  12 Ni 2.40
Ni (0.5000, 0.5000, 0.5000)  12 Ni 2.40
Y (0.2500, 0.2500, 0.2500)  24 Ni 3.26
Y (0.7500, 0.7500, 0.7500)  24 Ni 3.26

=====

Entry 2:
A relaxed Y3Ni4 crystal, computed with PBE.

M_tot, μB/f.u.: 0.0
Crystal system: tetragonal
Energy relative to the lowest polymorph listed for this composition, kJ/mol of formula units: 205
DFT formation energy, eV per atom: -0.1161

Cell: 11.8744 11.8744 11.8744 Å, 163.65 163.65 23.20°
Closest atoms and distances in Å follow each position.
Fractional coordinates of all 7 atoms:
Y (0.0000, 0.0000, 0.0000)  10 Ni 2.80-2.89
Y (0.6849, 0.6849, 0.0000)  5 Ni 2.67-2.82
Y (0.3151, 0.3151, 0.0000)  5 Ni 2.67-2.82
Ni (0.8798, 0.8798, 0.0000)  4 Ni 2.66, 5 Y 2.80-2.82
Ni (0.1202, 0.1202, 0.0000)  4 Ni 2.66, 5 Y 2.80-2.82
Ni (0.5702, 0.5702, 0.0000)  4 Ni 2.66, 5 Y 2.67-2.89
Ni (0.4298, 0.4298, 0.0000)  4 Ni 2.66, 5 Y 2.67-2.89

=====

The highest DFT formation energy belongs to which entry? YNi13

=====

Among the records above, which one has the lowest M_tot? Y3Ni4